## Li2NiBiN (PBE)

Data for crystalline Li2NiBiN at its relaxed geometry.

a = 4.269 Å, b = 4.269 Å, c = 3.749 Å
α = 90.00°, β = 90.00°, γ = 90.00°
Site moments in Bohr magnetons follow the coordinates.
Sites, in units of the cell vectors:
N1 0.000 0.000 0.000  0.23
Li1 0.000 0.500 0.000  0.00
Li2 0.500 0.000 0.000  0.00
Bi1 0.500 0.500 0.500  0.02
Ni1 0.000 0.000 0.500  0.37

Values from the calculation:
* crystal system: tetragonal
* energy relative to the elements, uncorrected: -138 meV per atom
* magnetization: 0.70 Bohr magnetons per cell
* uncorrected energy: -4.50 eV/atom